(1)
NaSm2H: optimized geometry, PBE.

Lattice parameters (Å, degrees): 3.5986 3.5986 10.0133 79.65 79.65 60.00
Fractional coordinates of all 4 atoms:
Sm: 0.1197 0.1197 0.6409
Sm: 0.8803 0.8803 0.3591
Na: 0.0000 0.0000 0.0000
H: 0.5000 0.5000 0.5000

Results
Magnetic moment: 0.0 μB per formula unit
VASP energy: -14.23 eV per cell
Symmetry: R-3m

(2)
Na2SnH: optimized geometry, PBE.

Lattice parameters (Å, degrees): 3.1250 3.1250 8.0780 90.00 90.00 90.00
Fractional coordinates of all 4 atoms:
Sn: 0.5000 0.5000 0.5000
Na: 0.0000 0.0000 0.8175
Na: 0.0000 0.0000 0.1825
H: 0.5000 0.5000 0.0000

Results
Magnetic moment: 0.0 μB per formula unit
Energy relative to the lowest polymorph listed for this composition: 18 meV per atom
VASP energy: -10.40 eV per cell
Symmetry: P4/mmm

(3)
Na2SnH6: optimized geometry, PBE.

Lattice parameters (Å, degrees): 5.3262 5.3262 5.3262 60.00 60.00 60.00
Fractional coordinates of all 9 atoms:
H: 0.2500 0.7500 0.2500
H: 0.2500 0.7500 0.7500
H: 0.7500 0.7500 0.2500
H: 0.2500 0.2500 0.7500
H: 0.7500 0.2500 0.7500
H: 0.7500 0.2500 0.2500
Sn: 0.0000 0.0000 0.0000
Na: 0.2500 0.2500 0.2500
Na: 0.7500 0.7500 0.7500

Results
Magnetic moment: 0.0 μB per formula unit
VASP energy: -25.44 eV per cell
Symmetry: Fm-3m

(4)
Na3SnH: optimized geometry, PBE.

Lattice parameters (Å, degrees): 6.4236 7.7091 7.4036 106.48 64.01 65.53
Fractional coordinates of all 10 atoms:
Sn: 0.8790 0.5156 0.4900
Sn: 0.5475 0.6807 0.9888
Na: 0.8312 0.1120 0.5161
Na: 0.5954 0.0845 0.9629
Na: 0.3028 0.1146 0.5181
Na: 0.0743 0.5787 0.0363
Na: 0.1228 0.0822 0.9619
Na: 0.3522 0.6176 0.4424
H: 0.3989 0.1927 0.7733
H: 0.0278 0.0035 0.7057

Results
Magnetic moment: 0.0 μB per formula unit
Energy relative to the lowest polymorph listed for this composition: 0 meV per atom
VASP energy: -23.91 eV per cell
Symmetry: P-1

(5)
Na2SnH: optimized geometry, PBE.

Lattice parameters (Å, degrees): 6.0157 5.9648 9.9860 87.99 89.99 90.00
Fractional coordinates of all 16 atoms:
Na: 0.7926 0.3883 0.1114
Na: 0.2181 0.6228 0.5713
Na: 0.7073 0.8883 0.6114
Na: 0.2818 0.1228 0.0713
Na: 0.2074 0.6117 0.8886
Na: 0.2927 0.1117 0.3886
Na: 0.7182 0.8772 0.9287
Na: 0.7819 0.3772 0.4287
Sn: 0.3407 0.6304 0.2411
Sn: 0.6593 0.3696 0.7589
Sn: 0.8407 0.8696 0.2589
Sn: 0.1593 0.1304 0.7411
H: 0.3924 0.7516 0.0652
H: 0.8924 0.7484 0.4348
H: 0.1076 0.2516 0.5652
H: 0.6076 0.2484 0.9348

Results
Magnetic moment: 0.0 μB per formula unit
Energy relative to the lowest polymorph listed for this composition: 78 meV per atom
VASP energy: -40.61 eV per cell
Symmetry: P2_1/c

(6)
Na2SnH: optimized geometry, PBE.

Lattice parameters (Å, degrees): 3.4090 3.4090 8.4039 78.30 78.30 60.00
Fractional coordinates of all 4 atoms:
H: 0.0000 0.0000 0.0000
Na: 0.7236 0.7236 0.8292
Na: 0.2764 0.2764 0.1708
Sn: 0.5000 0.5000 0.5000

Results
Magnetic moment: 0.0 μB per formula unit
Energy relative to the lowest polymorph listed for this composition: 0 meV per atom
VASP energy: -10.47 eV per cell
Symmetry: R-3m